Entry from Alexandria: Ho2CoGe3 after structural relaxation (GGA-PBE).

* crystal system: orthorhombic
* ΔE_f: -0.622 eV per atom
* mass density: 8.51 g/cm3
* calculated total energy: -5.641 eV/atom
* ΔE to the lowest computed polymorph: 11 meV per atom
* DOS(E_F): 3.5 states/eV/cell

Cell: 3.991 4.202 7.060 Å, 90.00 90.00 90.00°
Fractional coordinates of all 6 atoms:
Co (0.500, 0.500, 0.317)
Ge (0.500, 0.500, 0.641)
Ge (0.500, 0.000, 0.836)
Ge (0.500, 0.000, 0.189)
Ho (0.000, 0.000, 0.497)
Ho (0.000, 0.500, 0.019)